First-principles (PBE-GGA) data for a relaxed structure of TaHgCl2, as listed in Alexandria.

a = 4.6627 Å, b = 3.1052 Å, c = 6.8952 Å
α = 78.66°, β = 90.00°, γ = 90.00°
Closest atoms and distances in Å follow each position.
Fractional coordinates of all 4 atoms:
1 Cl 0.0000 0.8360 0.9646  2 Ta 2.50
2 Cl 0.5000 0.2684 0.1196  2 Ta 2.49-2.50
3 Ta 0.5000 0.8944 0.8307  4 Cl 2.49-2.50
4 Hg 0.0000 0.5012 0.5851  2 Cl 3.00, 2 Hg 3.11, 4 Ta 3.26

The energy above the most stable polymorph in this dataset is 0.375 eV per atom. The calculated total energy comes out at -0.306 Ry/atom. Its calculated volume is 98 Å³ per cell.